[1]
Compound: ThAgHg4
Source: Alexandria
Functional: PBE-GGA
Structure: relaxed

Summary:
Mass density: 12.96 g/cm3
ΔE_f: -0.56 eV/f.u.
DFT total energy: -2.006 eV per atom

a b c (Å): 4.8352 7.6538 8.2492
angles (deg): 90.00 106.54 90.00
With the nearest neighbours (Å) after each atom.
Atoms (fractional coordinates):
Th: 0.1772 0.2500 0.3515  10 Hg 3.15-3.45, 2 Ag 3.38
Th: 0.8228 0.7500 0.6485  10 Hg 3.15-3.45, 2 Ag 3.38
Ag: 0.1776 0.7500 0.3491  4 Hg 2.95
Ag: 0.8224 0.2500 0.6509  4 Hg 2.95
Hg: 0.0000 0.0000 0.0000  6 Hg 3.10-3.43, 2 Ag 3.36, 2 Th 3.37
Hg: 0.0000 0.5000 0.0000  6 Hg 3.10-3.43, 2 Ag 3.36, 2 Th 3.37
Hg: 0.3417 0.0328 0.6897  2 Ag 2.95, 2 Hg 3.02-3.25, 3 Th 3.15-3.27
Hg: 0.3417 0.4672 0.6897  2 Ag 2.95, 2 Hg 3.02-3.25, 3 Th 3.15-3.27
Hg: 0.4782 0.7500 0.9569  8 Hg 3.02-3.25
Hg: 0.5218 0.2500 0.0431  8 Hg 3.02-3.25
Hg: 0.6583 0.5328 0.3103  2 Ag 2.95, 2 Hg 3.02-3.25, 3 Th 3.15-3.27
Hg: 0.6583 0.9672 0.3103  2 Ag 2.95, 2 Hg 3.02-3.25, 3 Th 3.15-3.27

[2]
Compound: Zr2ZnCu3
Source: Alexandria
Functional: PBE-GGA
Structure: relaxed

Summary:
Mass density: 7.69 g/cm3
ΔE_f: -0.94 eV/f.u.
DFT total energy: -5.266 eV per atom

a b c (Å): 5.1738 5.1738 8.1642
angles (deg): 90.00 90.00 120.00
With the nearest neighbours (Å) after each atom.
Atoms (fractional coordinates):
Zr: 0.3333 0.6667 0.0423  9 Cu 2.80-3.09, 3 Zn 3.01, 3 Zr 3.07
Zr: 0.3333 0.6667 0.4577  9 Cu 2.80-3.09, 3 Zn 3.01, 3 Zr 3.07
Zr: 0.6667 0.3333 0.5423  9 Cu 2.80-3.09, 3 Zn 3.01, 3 Zr 3.07
Zr: 0.6667 0.3333 0.9577  9 Cu 2.80-3.09, 3 Zn 3.01, 3 Zr 3.07
Zn: 0.0000 0.0000 0.0000  6 Cu 2.54
Zn: 0.0000 0.0000 0.5000  6 Cu 2.54
Cu: 0.1696 0.3392 0.7500  4 Cu 2.54-2.63, 2 Zn 2.54, 2 Zr 2.80
Cu: 0.1696 0.8304 0.7500  4 Cu 2.54-2.63, 2 Zn 2.54, 2 Zr 2.80
Cu: 0.3392 0.1696 0.2500  4 Cu 2.54-2.63, 2 Zn 2.54, 2 Zr 2.80
Cu: 0.6608 0.8304 0.7500  4 Cu 2.54-2.63, 2 Zn 2.54, 2 Zr 2.80
Cu: 0.8304 0.1696 0.2500  4 Cu 2.54-2.63, 2 Zn 2.54, 2 Zr 2.80
Cu: 0.8304 0.6608 0.2500  4 Cu 2.54-2.63, 2 Zn 2.54, 2 Zr 2.80

[3]
Compound: Hg3Au
Source: Alexandria
Functional: PBE-GGA
Structure: relaxed

Summary:
E above lowest polymorph: 0.27 eV/f.u.
Mass density: 13.17 g/cm3
ΔE_f: 0.36 eV/f.u.
DFT total energy: -0.957 eV per atom

a b c (Å): 5.3442 5.3442 5.3442
angles (deg): 112.76 112.76 112.76
With the nearest neighbours (Å) after each atom.
Atoms (fractional coordinates):
Hg: 0.0000 0.5000 0.5000  4 Hg 2.96, 2 Au 2.96
Hg: 0.5000 0.0000 0.5000  2 Au 2.96, 4 Hg 2.96
Hg: 0.5000 0.5000 0.0000  4 Hg 2.96, 2 Au 2.96
Au: 0.0000 0.0000 0.0000  6 Hg 2.96

[4]
Compound: NdBi4Rh4
Source: Alexandria
Functional: PBE-GGA
Structure: relaxed

Summary:
Mass density: 10.42 g/cm3
ΔE_f: -1.62 eV/f.u.
DFT total energy: -5.702 eV per atom

a b c (Å): 9.0142 9.0142 5.4582
angles (deg): 90.00 90.00 90.00
With the nearest neighbours (Å) after each atom.
Atoms (fractional coordinates):
Nd: 0.2500 0.2500 0.2500  4 Rh 2.88
Nd: 0.7500 0.7500 0.7500  4 Rh 2.88
Bi: 0.0885 0.6393 0.1573  5 Rh 2.76-2.94
Bi: 0.1393 0.9115 0.6573  5 Rh 2.76-2.94
Bi: 0.3607 0.5885 0.6573  5 Rh 2.76-2.94
Bi: 0.4115 0.8607 0.1573  5 Rh 2.76-2.94
Bi: 0.5885 0.1393 0.8427  5 Rh 2.76-2.94
Bi: 0.6393 0.4115 0.3427  5 Rh 2.76-2.94
Bi: 0.8607 0.0885 0.3427  5 Rh 2.76-2.94
Bi: 0.9115 0.3607 0.8427  5 Rh 2.76-2.94
Rh: 0.0362 0.6213 0.6538  5 Bi 2.76-2.94, 1 Rh 2.83, 1 Nd 2.88
Rh: 0.1213 0.9638 0.1538  5 Bi 2.76-2.94, 1 Rh 2.83, 1 Nd 2.88
Rh: 0.3787 0.5362 0.1538  5 Bi 2.76-2.94, 1 Rh 2.83, 1 Nd 2.88
Rh: 0.4638 0.8787 0.6538  5 Bi 2.76-2.94, 1 Rh 2.83, 1 Nd 2.88
Rh: 0.5362 0.1213 0.3462  5 Bi 2.76-2.94, 1 Rh 2.83, 1 Nd 2.88
Rh: 0.6213 0.4638 0.8462  5 Bi 2.76-2.94, 1 Rh 2.83, 1 Nd 2.88
Rh: 0.8787 0.0362 0.8462  5 Bi 2.76-2.94, 1 Rh 2.83, 1 Nd 2.88
Rh: 0.9638 0.3787 0.3462  5 Bi 2.76-2.94, 1 Rh 2.83, 1 Nd 2.88

[5]
Compound: SiAsS4
Source: Alexandria
Functional: PBE-GGA
Structure: relaxed

Summary:
Uncorrected formation energy: -19 kJ/mol of formula units
Mass density: 2.68 g/cm3
DFT total energy: -4.463 eV per atom

a b c (Å): 8.0721 8.0721 8.5020
angles (deg): 113.12 113.12 34.57
With the nearest neighbours (Å) after each atom.
Atoms (fractional coordinates):
Si: 0.0975 0.0975 0.1587  3 S 2.18-2.30
Si: 0.9025 0.9025 0.8413  3 S 2.18-2.30
As: 0.2289 0.2289 0.7197  2 S 2.21-2.26
As: 0.7711 0.7711 0.2803  2 S 2.21-2.26
S: 0.0547 0.0547 0.8804  2 Si 2.18-2.23
S: 0.1132 0.1132 0.4581  1 As 2.21, 1 Si 2.46
S: 0.2551 0.2551 0.2030  1 Si 2.30, 2 As 2.47
S: 0.3813 0.3813 0.7472  1 As 2.26, 2 Si 2.51
S: 0.6187 0.6187 0.2528  1 As 2.26, 2 Si 2.51
S: 0.7449 0.7449 0.7970  1 Si 2.30, 2 As 2.47
S: 0.8868 0.8868 0.5419  1 As 2.21, 1 Si 2.46
S: 0.9453 0.9453 0.1196  2 Si 2.18-2.23

[6]
Compound: Ca2NbAs2
Source: Alexandria
Functional: PBE-GGA
Structure: relaxed

Summary:
Mass density: 4.79 g/cm3
ΔE_f: -3.45 eV/f.u.
DFT total energy: -5.365 eV per atom

a b c (Å): 7.1780 7.1780 4.3408
angles (deg): 90.00 90.00 90.00
With the nearest neighbours (Å) after each atom.
Atoms (fractional coordinates):
Ca: 0.1597 0.3403 0.0000  6 As 2.87-3.14
Ca: 0.3403 0.8403 0.0000  6 As 2.87-3.14
Ca: 0.6597 0.1597 0.0000  6 As 2.87-3.14
Ca: 0.8403 0.6597 0.0000  6 As 2.87-3.14
Nb: 0.0000 0.0000 0.5000  4 As 2.71
Nb: 0.5000 0.5000 0.5000  4 As 2.71
As: 0.1555 0.6555 0.5000  2 Nb 2.71, 2 Ca 2.87
As: 0.3445 0.1555 0.5000  2 Nb 2.71, 2 Ca 2.87
As: 0.6555 0.8445 0.5000  2 Nb 2.71, 2 Ca 2.87
As: 0.8445 0.3445 0.5000  2 Nb 2.71, 2 Ca 2.87

[7]
Compound: NpCuSbO6
Source: Alexandria
Functional: PBE-GGA
Structure: relaxed

Summary:
Uncorrected formation energy: -1417 kJ/mol of formula units
Mass density: 7.35 g/cm3
DFT total energy: -7.288 eV per atom

a b c (Å): 5.4256 5.4256 9.1862
angles (deg): 90.00 90.00 120.00
With the nearest neighbours (Å) after each atom.
Atoms (fractional coordinates):
Np: 0.3333 0.6667 0.2500  6 O 2.12
Np: 0.6667 0.3333 0.7500  6 O 2.12
Cu: 0.0000 0.0000 0.0000  6 O 2.24
Cu: 0.0000 0.0000 0.5000  6 O 2.24
Sb: 0.3333 0.6667 0.7500  6 O 2.04
Sb: 0.6667 0.3333 0.2500  6 O 2.04
O: 0.0114 0.3525 0.6314  1 Sb 2.04, 1 Np 2.12, 1 Cu 2.24
O: 0.0114 0.6589 0.8686  1 Sb 2.04, 1 Np 2.12, 1 Cu 2.24
O: 0.3411 0.3525 0.8686  1 Sb 2.04, 1 Np 2.12, 1 Cu 2.24
O: 0.3411 0.9886 0.6314  1 Sb 2.04, 1 Np 2.12, 1 Cu 2.24
O: 0.3525 0.0114 0.1314  1 Sb 2.04, 1 Np 2.12, 1 Cu 2.24
O: 0.3525 0.3411 0.3686  1 Sb 2.04, 1 Np 2.12, 1 Cu 2.24
O: 0.6475 0.6589 0.6314  1 Sb 2.04, 1 Np 2.12, 1 Cu 2.24
O: 0.6475 0.9886 0.8686  1 Sb 2.04, 1 Np 2.12, 1 Cu 2.24
O: 0.6589 0.0114 0.3686  1 Sb 2.04, 1 Np 2.12, 1 Cu 2.24
O: 0.6589 0.6475 0.1314  1 Sb 2.04, 1 Np 2.12, 1 Cu 2.24
O: 0.9886 0.3411 0.1314  1 Sb 2.04, 1 Np 2.12, 1 Cu 2.24
O: 0.9886 0.6475 0.3686  1 Sb 2.04, 1 Np 2.12, 1 Cu 2.24

[8]
Compound: CaNdAgIr
Source: Alexandria
Functional: PBE-GGA
Structure: relaxed

Summary:
Mass density: 8.74 g/cm3
ΔE_f: -1.51 eV/f.u.
DFT total energy: -4.998 eV per atom

a b c (Å): 5.0685 5.0685 5.0685
angles (deg): 60.00 60.00 60.00
With the nearest neighbours (Å) after each atom.
Atoms (fractional coordinates):
Ca: 0.0000 0.0000 0.0000  4 Ag 3.10, 4 Ir 3.10
Nd: 0.5000 0.5000 0.5000  4 Ir 3.10, 4 Ag 3.10
Ag: 0.7500 0.7500 0.7500  4 Nd 3.10, 4 Ca 3.10
Ir: 0.2500 0.2500 0.2500  4 Nd 3.10, 4 Ca 3.10

[9]
Compound: Ba2PaPd2O6
Source: Alexandria
Functional: PBE-GGA
Structure: relaxed

Summary:
Uncorrected formation energy: -2118 kJ/mol of formula units
Mass density: 6.74 g/cm3
DFT total energy: -6.857 eV per atom

a b c (Å): 6.7789 6.7789 6.7789
angles (deg): 56.18 56.18 56.18
With the nearest neighbours (Å) after each atom.
Atoms (fractional coordinates):
Ba: 0.2168 0.2168 0.2168  3 O 2.78
Ba: 0.7832 0.7832 0.7832  3 O 2.78
Pa: 0.0000 0.0000 0.0000  6 O 2.18
Pd: 0.4139 0.4139 0.4139  3 O 2.06
Pd: 0.5861 0.5861 0.5861  3 O 2.06
O: 0.2093 0.7680 0.7680  1 Pd 2.06, 1 Pa 2.18
O: 0.2320 0.2320 0.7907  1 Pd 2.06, 1 Pa 2.18
O: 0.2320 0.7907 0.2320  1 Pd 2.06, 1 Pa 2.18
O: 0.7679 0.2093 0.7679  1 Pd 2.06, 1 Pa 2.18
O: 0.7679 0.7679 0.2093  1 Pd 2.06, 1 Pa 2.18
O: 0.7907 0.2321 0.2320  1 Pd 2.06, 1 Pa 2.18

[10]
Compound: NaGaNO2
Source: Alexandria
Functional: PBE-GGA
Structure: relaxed

Summary:
Uncorrected formation energy: 499 kJ/mol of formula units
Mass density: 2.81 g/cm3
DFT total energy: -3.484 eV per atom

a b c (Å): 4.3072 4.3072 4.4203
angles (deg): 90.00 90.00 90.00
With the nearest neighbours (Å) after each atom.
Atoms (fractional coordinates):
Na: 0.0000 0.0000 0.0000  4 O 2.15, 2 N 2.21
Ga: 0.5000 0.5000 0.5000  4 N 3.05, 8 O 3.09
N: 0.0000 0.0000 0.5000  2 Na 2.21
O: 0.0000 0.5000 0.0000  2 Na 2.15
O: 0.5000 0.0000 0.0000  2 Na 2.15

[11]
Compound: Sc2AgSe
Source: Alexandria
Functional: PBE-GGA
Structure: relaxed

Summary:
Uncorrected formation energy: -291 kJ/mol of formula units
Mass density: 5.31 g/cm3
DFT total energy: -5.505 eV per atom

a b c (Å): 3.9171 3.9171 5.6388
angles (deg): 90.00 90.00 90.00
With the nearest neighbours (Å) after each atom.
Atoms (fractional coordinates):
Sc: 0.0000 0.0000 0.0000  4 Se 2.77, 2 Ag 2.82
Sc: 0.5000 0.5000 0.5000  4 Ag 2.77, 2 Se 2.82
Ag: 0.0000 0.0000 0.5000  6 Sc 2.77-2.82
Se: 0.5000 0.5000 0.0000  6 Sc 2.77-2.82

[12]
Compound: Th2CuGe4Au3
Source: Alexandria
Functional: PBE-GGA
Structure: relaxed

Summary:
Mass density: 11.47 g/cm3
ΔE_f: -4.52 eV/f.u.
DFT total energy: -5.176 eV per atom

a b c (Å): 4.3539 4.3539 10.7598
angles (deg): 90.00 90.00 90.00
With the nearest neighbours (Å) after each atom.
Atoms (fractional coordinates):
Th: 0.0000 0.5000 0.2366  8 Ge 3.30-3.57, 6 Au 3.35, 2 Cu 3.35
Th: 0.5000 0.0000 0.7634  8 Ge 3.30-3.57, 6 Au 3.35, 2 Cu 3.35
Cu: 0.5000 0.5000 0.0000  4 Ge 2.57
Ge: 0.0000 0.0000 0.5000  4 Au 2.66
Ge: 0.0000 0.5000 0.8735  3 Au 2.50-2.57, 2 Cu 2.57
Ge: 0.5000 0.0000 0.1265  3 Au 2.50-2.57, 2 Cu 2.57
Ge: 0.5000 0.5000 0.5000  4 Au 2.66
Au: 0.0000 0.0000 0.0000  4 Ge 2.57
Au: 0.0000 0.5000 0.6416  5 Ge 2.50-2.66
Au: 0.5000 0.0000 0.3584  5 Ge 2.50-2.66